DFT (GGA+U) results for a relaxed structure of Pm2NiOsO8.

The calculation puts the total moment at 2.00 Bohr magnetons per cell. As for the crystal system: triclinic. As for the raw total energy: -0.52530 Ry per atom. The mass density comes out at 7.206 g/cm³.

Unit cell a=4.1951 b=5.3781 c=6.9258 alpha=82.59 beta=94.42 gamma=96.40
Last column: magnetic moment on the atom in μB.
Atoms (fractional coordinates):
1 O 0.2974 0.2799 0.0400  0.00
2 O 0.7026 0.7201 0.9600  0.00
3 O 0.7859 0.6720 0.5541  0.04
4 O 0.2092 0.9409 0.7765  0.01
5 O 0.2141 0.3280 0.4459  0.04
6 O 0.7685 0.2192 0.8328  0.05
7 O 0.7908 0.0591 0.2235  0.01
8 O 0.2315 0.7808 0.1672  0.05
9 Os 0.0000 0.0000 0.0000  0.05
10 Ni 0.0000 0.0000 0.5000  1.70
11 Pm 0.3244 0.5199 0.7304  0.01
12 Pm 0.6756 0.4801 0.2696  0.01